A relaxed HfOsRh crystal, computed with PBE.

Results
formation enthalpy at 0 K: -456.7 meV/atom

Cell: 4.5426 7.8589 5.4243 Å, 90.00 90.00 90.00°
With the nearest neighbours (Å) after each atom.
Space group Cmcm (No. 63)
Inequivalent atoms, fractional coordinates:
Hf: 0.0000 0.1673 0.2500 [4 per cell]  5 Rh 2.62-2.71
Os: 0.0000 0.5000 0.0000 [4 per cell]  2 Os 2.71, 6 Hf 2.95, 6 Rh 2.95
Rh: 0.0000 0.1662 0.7500 [4 per cell]  5 Hf 2.62-2.71

A relaxed Hf3OsRh2 crystal, computed with PBE.

Results
formation enthalpy at 0 K: -821.8 meV/atom
ΔE to the lowest computed polymorph: 0 meV/atom

Cell: 4.6226 4.6226 5.6409 Å, 90.00 90.00 120.00°
With the nearest neighbours (Å) after each atom.
Space group P-3m1 (No. 164)
Inequivalent atoms, fractional coordinates:
Hf: 0.0000 0.0000 0.0000 [1 per cell]  6 Rh 2.82, 2 Os 2.82
Hf: 0.3333 0.6667 0.6617 [2 per cell]  5 Rh 2.80-2.85, 3 Os 2.82
Os: 0.0000 0.0000 0.5000 [1 per cell]  8 Hf 2.82
Rh: 0.3333 0.6667 0.1589 [2 per cell]  8 Hf 2.80-2.85

A relaxed HfOs2RhSe crystal, computed with PBE.

Results
raw formation energy: 7.6 eV per formula unit

Cell: 4.7075 4.7075 4.8742 Å, 90.00 90.00 90.00°
With the nearest neighbours (Å) after each atom.
Space group P4/mmm (No. 123)
Inequivalent atoms, fractional coordinates:
Hf: 0.0000 0.0000 0.0000 [1 per cell]  2 Rh 2.44
Os: 0.0000 0.5000 0.5000 [2 per cell]  2 Rh 2.35
Rh: 0.0000 0.0000 0.5000 [1 per cell]  4 Os 2.35, 2 Hf 2.44
Se: 0.5000 0.5000 0.0000 [1 per cell]  4 Hf 3.33, 8 Os 3.39

A relaxed SmHfOsRh crystal, computed with PBE.

Results
formation enthalpy at 0 K: -484.3 meV/atom

Cell: 6.7381 6.7381 6.7381 Å, 90.00 90.00 90.00°
With the nearest neighbours (Å) after each atom.
Space group F-43m (No. 216)
Inequivalent atoms, fractional coordinates:
Sm: 0.0000 0.0000 0.0000 [4 per cell]  4 Os 2.92, 4 Rh 2.92
Hf: 0.0000 0.0000 0.5000 [4 per cell]  4 Rh 2.92, 4 Os 2.92
Os: 0.2500 0.2500 0.2500 [4 per cell]  4 Hf 2.92, 4 Sm 2.92
Rh: 0.2500 0.2500 0.7500 [4 per cell]  4 Hf 2.92, 4 Sm 2.92

For each record above, in turn, the calculated DOS(E_F) values are 1.3101, 0.4461, 1.3101, 0.3958 states/eV/atom.